VASP calculation (PBE) on a relaxed structure of Sr5SmHg6.

Values from the calculation:
Formation energy ... -6.23 eV per formula unit

abc: 5.581 7.982 8.828
angles: 90.00 108.32 90.00
Space group P2/m (No. 10)
One atom of each set of equivalent atoms:
Sr: 0.000 0.000 0.000
Sr: 0.332 0.000 0.665
Sr: 0.332 0.500 0.665
Sm: 0.000 0.500 0.000
Hg: 0.160 0.258 0.321
Hg: 0.500 0.266 0.000

VASP calculation (PBE) on a relaxed structure of ZrPbNO2.

Values from the calculation:
Energy relative to the elements, uncorrected ... 0.018 eV per atom

abc: 4.240 4.240 4.371
angles: 90.00 90.00 90.00
Space group P4/mmm (No. 123)
One atom of each set of equivalent atoms:
Zr: 0.000 0.000 0.000
Pb: 0.500 0.500 0.500
N: 0.500 0.500 0.000
O: 0.000 0.500 0.500

VASP calculation (PBE) on a relaxed structure of Sm5Pb2N.

Values from the calculation:
Energy relative to the elements, uncorrected ... -0.261 eV per atom

abc: 4.708 17.052 13.150
angles: 90.00 90.00 90.00
Space group Cmcm (No. 63)
One atom of each set of equivalent atoms:
Sm: 0.000 0.101 0.113
Sm: 0.000 0.274 0.750
Sm: 0.000 0.297 0.070
Pb: 0.000 0.087 0.636
N: 0.000 0.185 0.250

VASP calculation (PBE) on a relaxed structure of CaEuAlGa.

Values from the calculation:
Formation energy ... -1.33 eV per formula unit

abc: 7.466 7.466 7.466
angles: 90.00 90.00 90.00
Space group F-43m (No. 216)
One atom of each set of equivalent atoms:
Ca: 0.000 0.000 0.000
Eu: 0.000 0.000 0.500
Al: 0.250 0.250 0.750
Ga: 0.250 0.250 0.250

VASP calculation (PBE) on a relaxed structure of TcTe2O8.

Values from the calculation:
Energy relative to the elements, uncorrected ... -0.681 eV per atom

abc: 10.539 7.931 5.407
angles: 90.00 104.18 90.00
Space group C2/m (No. 12)
One atom of each set of equivalent atoms:
Tc: 0.000 0.000 0.000
Te: 0.185 0.000 0.657
O: 0.085 0.163 0.817
O: 0.139 0.500 0.229
O: 0.155 0.000 0.274

VASP calculation (PBE) on a relaxed structure of ErZrBeIr.

Values from the calculation:
Formation energy ... -1.52 eV per formula unit

abc: 6.661 6.661 6.661
angles: 90.00 90.00 90.00
Space group F-43m (No. 216)
One atom of each set of equivalent atoms:
Er: 0.000 0.000 0.000
Zr: 0.000 0.000 0.500
Be: 0.250 0.250 0.750
Ir: 0.250 0.250 0.250

VASP calculation (PBE) on a relaxed structure of KZrAg2I8.

Values from the calculation:
Energy relative to the elements, uncorrected ... -0.664 eV per atom

abc: 7.251 7.585 9.858
angles: 82.83 70.54 83.63
Space group P-1 (No. 2)
One atom of each set of equivalent atoms:
K: 0.000 0.000 0.000
Zr: 0.500 0.000 0.500
Ag: 0.445 0.540 0.211
I: 0.138 0.854 0.649
I: 0.215 0.519 0.026
I: 0.287 0.345 0.475
I: 0.473 0.918 0.224

VASP calculation (PBE) on a relaxed structure of LaSiNi6Ge.

Values from the calculation:
Energy relative to the elements, uncorrected ... -0.304 eV per atom

abc: 5.149 7.686 13.141
angles: 90.00 90.00 90.00
Space group Imma (No. 74)
One atom of each set of equivalent atoms:
La: 0.000 0.250 0.003
Si: 0.250 0.250 0.750
Ni: 0.000 0.250 0.245
Ni: 0.000 0.250 0.608
Ni: 0.249 0.016 0.159
Ge: 0.000 0.000 0.500

VASP calculation (PBE) on a relaxed structure of RbCuSb.

Values from the calculation:
Energy relative to the elements, uncorrected ... 0.006 eV per atom
ΔE to the lowest computed polymorph ... 199.0 meV/atom

abc: 3.803 3.803 12.778
angles: 90.00 90.00 90.00
Space group I4mm (No. 107)
One atom of each set of equivalent atoms:
Rb: 0.000 0.000 0.000
Cu: 0.000 0.000 0.258
Sb: 0.000 0.000 0.722

VASP calculation (PBE) on a relaxed structure of CrFePt2.

Values from the calculation:
Formation energy ... 3.52 eV per formula unit

abc: 5.394 5.394 10.645
angles: 90.00 90.00 90.00
Space group I-42d (No. 122)
One atom of each set of equivalent atoms:
Cr: 0.000 0.000 0.000
Fe: 0.000 0.000 0.500
Pt: 0.246 0.250 0.625

VASP calculation (PBE) on a relaxed structure of Y3Zn2In2.

Values from the calculation:
Formation energy ... -2.91 eV per formula unit

abc: 11.079 4.523 7.287
angles: 90.00 106.87 90.00
Space group C2/m (No. 12)
One atom of each set of equivalent atoms:
Y: 0.000 0.000 0.000
Y: 0.166 0.000 0.632
Zn: 0.191 0.500 0.951
In: 0.044 0.500 0.318

VASP calculation (PBE) on a relaxed structure of InReI2.

Values from the calculation:
Energy relative to the elements, uncorrected ... 0.548 eV per atom
ΔE to the lowest computed polymorph ... 0.0 meV/atom

abc: 9.504 9.504 5.499
angles: 90.00 90.00 90.00
Space group I-42d (No. 122)
One atom of each set of equivalent atoms:
In: 0.000 0.000 0.000
Re: 0.000 0.000 0.500
I: 0.116 0.250 0.625

Number 1: DOS(E_F) 0.6504 states/eV/atom. Number 2: DOS(E_F) 0.6978 states/eV/atom. Number 3: DOS(E_F) 0.8925 states/eV/atom. Number 4: DOS(E_F) 0.6751 states/eV/atom. Number 5: DOS(E_F) 0.1645 states/eV/atom. Number 6: DOS(E_F) 0.7479 states/eV/atom. Number 7: DOS(E_F) 0.4703 states/eV/atom. Number 8: DOS(E_F) 0.8764 states/eV/atom. Number 9: DOS(E_F) 0.4570 states/eV/atom. Number 10: DOS(E_F) 1.7159 states/eV/atom. Number 11: DOS(E_F) 0.7802 states/eV/atom. Number 12: DOS(E_F) 0.1115 states/eV/atom.